(1)
A plane-wave DFT calculation with meta-GGA SCAN was carried out for a crystal of Be8Ni relaxed with PBEsol.

Calculated values
Crystal system = tetragonal
Formation enthalpy at 0 K = -0.103 eV/atom
Raw total energy = -5.7698 eV per atom
N(E_F) = 0.21 states/eV/atom
Total magnetization = 0.018 Bohr magnetons per cell

Lattice parameters (Å, degrees): 3.155 5.050 5.050 84.40 71.80 71.80
Element x y z (fractional)
Be 0.000 0.336 0.664
Be 0.668 0.664 0.000
Be 0.336 0.664 0.664
Be 0.664 0.336 0.336
Be 0.332 0.336 0.000
Ni 0.000 0.000 0.000
Be 0.332 0.000 0.336
Be 0.000 0.664 0.336
Be 0.668 0.000 0.664

(2)
A plane-wave DFT calculation with meta-GGA SCAN was carried out for a crystal of BeNi3 relaxed with PBEsol.

Calculated values
Crystal system = tetragonal
Formation enthalpy at 0 K = -0.196 eV/atom
Raw total energy = -13.4143 eV per atom
N(E_F) = 0.59 states/eV/atom
Total magnetization = 1.613 Bohr magnetons per cell

Lattice parameters (Å, degrees): 3.424 3.424 4.102 114.66 114.66 90.00
Element x y z (fractional)
Ni 0.750 0.250 0.500
Ni 0.250 0.750 0.500
Ni 0.500 0.500 0.000
Be 0.000 0.000 0.000

(3)
A plane-wave DFT calculation with meta-GGA SCAN was carried out for a crystal of BeNi3 relaxed with PBEsol.

Calculated values
Crystal system = orthorhombic
Formation enthalpy at 0 K = -0.177 eV/atom
Raw total energy = -13.3955 eV per atom
N(E_F) = 0.98 states/eV/atom
Total magnetization = 1.351 Bohr magnetons per cell

Lattice parameters (Å, degrees): 2.551 3.877 4.501 115.51 106.46 90.00
Element x y z (fractional)
Be 0.000 0.080 0.000
Ni 0.500 0.582 0.000
Ni 0.271 0.857 0.542
Ni 0.729 0.315 0.458

Among the records above, which one has the highest total magnetization?
number 2

Among the records above, which one has the highest formation enthalpy at 0 K?
Be8Ni